## w
First-principles (PBE) data for crystalline KSeBr2F at its relaxed geometry, as listed in Alexandria via LeMat-Bulk.

Cell: 6.001 6.001 3.954 Å, 90.00 90.00 90.00°
Last column: magnetic moment on the atom in μB.
Positions (direct):
Se 0.000 0.000 0.500  0.54
K 0.500 0.500 0.500  0.00
Br 0.000 0.500 0.000  0.12
Br 0.500 0.000 0.000  0.12
F 0.000 0.000 0.000  0.05

## Properties
- Spin magnetization: 1.19 μB per formula unit

***

## x
First-principles (PBE) data for crystalline KSeBr2F at its relaxed geometry, as listed in Alexandria via LeMat-Bulk.

Cell: 6.173 6.173 6.990 Å, 90.00 90.00 90.00°
Last column: magnetic moment on the atom in μB.
Positions (direct):
F 0.500 0.500 0.500  0.53
Br 0.500 0.000 0.000  0.42
Br 0.000 0.500 0.000  0.42
K 0.000 0.000 0.000  0.00
Se 0.000 0.000 0.500  1.28

## Properties
- Spin magnetization: 4.01 μB per formula unit

***

Q: Which of them is the most stable? A: w.

***

## w
First-principles (PBE) data for crystalline KSnBrF2 at its relaxed geometry, as listed in Alexandria via LeMat-Bulk.

Cell: 4.688 4.688 6.162 Å, 90.00 90.00 90.00°
Positions (direct):
F 0.500 0.000 0.000
F 0.000 0.500 0.000
Sn 0.000 0.000 0.000
K 0.500 0.500 0.500
Br 0.000 0.000 0.500

## Properties
- Spin magnetization: 0.00 μB per formula unit

***

## x
First-principles (PBE) data for crystalline KSnBrF2 at its relaxed geometry, as listed in Alexandria via LeMat-Bulk.

Cell: 4.362 7.213 8.279 Å, 101.44 90.00 90.00°
Positions (direct):
K 0.750 0.301 0.077
K 0.250 0.699 0.923
Br 0.750 0.905 0.218
Br 0.250 0.095 0.782
F 0.250 0.497 0.181
F 0.750 0.503 0.819
F 0.750 0.545 0.424
F 0.250 0.455 0.576
Sn 0.750 0.310 0.591
Sn 0.250 0.690 0.409

## Properties
- Spin magnetization: 0.00 μB per formula unit

***

Q: Which of them is the most stable? A: x.

***

## w
First-principles (PBE) data for crystalline KSrBrF2 at its relaxed geometry, as listed in Alexandria via LeMat-Bulk.

Cell: 4.748 4.748 6.257 Å, 90.00 90.00 90.00°
Positions (direct):
F 0.500 0.000 0.000
F 0.000 0.500 0.000
K 0.500 0.500 0.500
Br 0.000 0.000 0.500
Sr 0.000 0.000 0.000

## Properties
- Spin magnetization: 0.00 μB per formula unit

***

## x
First-principles (PBE) data for crystalline KSrBrF2 at its relaxed geometry, as listed in Alexandria via LeMat-Bulk.

Cell: 4.661 6.138 4.661 Å, 90.00 90.00 90.00°
Positions (direct):
Br 0.500 0.500 0.500
F 0.500 0.000 0.000
F 0.000 0.000 0.500
Sr 0.000 0.500 0.000
K 0.000 0.000 0.000

## Properties
- Spin magnetization: 0.00 μB per formula unit

***

Q: Which of them is the most stable? A: w.

***

## w
First-principles (PBE) data for crystalline KTlBrF at its relaxed geometry, as listed in Alexandria via LeMat-Bulk.

Cell: 5.355 5.355 5.355 Å, 60.00 60.00 60.00°
Positions (direct):
Tl 0.250 0.250 0.250
Br 0.500 0.500 0.500
K 0.750 0.750 0.750
F 0.000 0.000 0.000

## Properties
- Spin magnetization: 0.00 μB per formula unit

***

## x
First-principles (PBE) data for crystalline KTlBrF at its relaxed geometry, as listed in Alexandria via LeMat-Bulk.

Cell: 4.497 4.497 15.379 Å, 81.59 81.59 60.00°
Last column: magnetic moment on the atom in μB.
Positions (direct):
Tl 0.799 0.799 0.604  0.00
Tl 0.201 0.201 0.396  0.00
Br 0.903 0.903 0.292  0.00
Br 0.097 0.097 0.708  0.00
K 0.363 0.363 0.911  0.00
K 0.637 0.637 0.089  0.00
F 0.305 0.305 0.086  0.09
F 0.695 0.695 0.914  0.09

## Properties
- Spin magnetization: 0.10 μB per formula unit

***

Q: Which of them is the most stable? A: x.